Arrangement A

{"formula": "LaHfTiSb", "functional": "PBE", "state": "optimized geometry", "sg": "Amm2, No. 38", "n_ef_per_ev_atom": 1.1406, "lattice": [[4.600, 0.000, 0.000], [0.000, 3.771, 0.000], [0.000, 0.000, 12.131]], "species": ["La", "La", "Hf", "Hf", "Ti", "Ti", "Sb", "Sb"], "fractional_positions": [[0.000, 0.000, 0.000], [0.000, 0.500, 0.500], [0.000, 0.000, 0.258], [0.000, 0.500, 0.758], [0.500, 0.000, 0.719], [0.500, 0.500, 0.219], [0.500, 0.000, 0.402], [0.500, 0.500, 0.902]]}

Arrangement B

{"formula": "LaHfTiSb", "functional": "PBE", "state": "optimized geometry", "sg": "P4mm, No. 99", "n_ef_per_ev_atom": 0.9199, "lattice": [[3.709, 0.000, 0.000], [0.000, 3.709, 0.000], [0.000, 0.000, 7.315]], "species": ["La", "Hf", "Ti", "Sb"], "fractional_positions": [[0.000, 0.000, 0.000], [0.000, 0.000, 0.506], [0.500, 0.500, 0.697], [0.500, 0.500, 0.302]]}

Arrangement C

{"formula": "LaHfTiSb", "functional": "PBE", "state": "optimized geometry", "sg": "P2/m, No. 10", "n_ef_per_ev_atom": 0.8463, "lattice": [[5.357, 0.000, 0.000], [0.000, 3.329, 0.000], [-1.997, 0.000, 5.242]], "species": ["La", "Hf", "Ti", "Sb"], "fractional_positions": [[0.000, 0.000, 0.000], [0.500, 0.500, 0.000], [0.500, 0.000, 0.500], [0.000, 0.500, 0.500]]}

Arrangement D

{"formula": "LaHfTiSb", "functional": "PBE", "state": "optimized geometry", "sg": "Pmmm, No. 47", "n_ef_per_ev_atom": 1.2428, "lattice": [[4.270, 0.000, 0.000], [0.000, 4.523, 0.000], [0.000, 0.000, 4.780]], "species": ["La", "Hf", "Ti", "Sb"], "fractional_positions": [[0.000, 0.000, 0.000], [0.500, 0.000, 0.500], [0.500, 0.500, 0.000], [0.000, 0.500, 0.500]]}

The energy of each structure relative to the most stable one, in meV per atom, is as follows: arrangement A 106; arrangement B 0; arrangement C 161; arrangement D 93.